8
Lattice="4.034 0.000 0.000 0.000 4.034 0.000 0.000 0.000 9.113" Properties=species:S:1:pos:R:3 comment="LaAsOs2 (PBE, optimized geometry)" magnetic_moment_mub_per_cell=0.00 spacegroup=I-4m2 e_tot_ev_per_atom=-7.493 pbc="T T T"
La 0.000 0.000 0.000
La 2.017 2.017 4.557
As 0.000 2.017 2.278
As 2.017 0.000 6.835
Os 0.000 0.000 4.557
Os 0.000 2.017 6.835
Os 2.017 0.000 2.278
Os 2.017 2.017 0.000


14
Lattice="-4.629 4.631 4.690 4.629 -4.631 4.690 4.629 4.631 -4.690" Properties=species:S:1:pos:R:3 comment="Nd4PdPt2 (PBE, optimized geometry)" magnetic_moment_mub_per_cell=0.00 spacegroup=Imma e_tot_ev_per_atom=-5.981 pbc="T T T"
Nd 2.843 2.315 -0.479
Nd 6.416 2.315 -0.479
Nd 0.000 0.529 1.868
Nd 4.629 0.529 2.822
Nd 0.000 4.102 1.868
Nd 4.629 4.102 2.822
Nd -1.786 2.315 5.169
Nd 1.786 2.315 5.169
Pd 4.629 -2.315 3.514
Pd 0.000 6.946 1.176
Pt 4.629 0.000 0.000
Pt -2.315 2.315 2.345
Pt 0.000 0.000 4.690
Pt 2.315 2.315 2.345


14
Lattice="4.484 -4.528 0.000 4.484 4.528 0.000 0.000 0.000 6.010" Properties=species:S:1:pos:R:3 comment="LiMg3Pd3 (PBE, optimized geometry)" magnetic_moment_mub_per_cell=0.00 spacegroup=Cmmm e_tot_ev_per_atom=-3.745 pbc="T T T"
Li 4.484 2.262 0.000
Li 4.484 -2.262 0.000
Mg 2.156 0.000 0.000
Mg 2.224 0.000 3.005
Mg 4.484 2.263 3.005
Mg 4.484 -2.263 3.005
Mg 6.744 0.000 3.005
Mg 6.812 0.000 0.000
Pd 2.242 2.264 1.483
Pd 2.242 2.264 4.526
Pd 2.242 -2.264 1.483
Pd 2.242 -2.264 4.526
Pd 4.484 0.000 1.459
Pd 4.484 0.000 4.550